# 1
{
  "formula": "SmGeAu2",
  "functional": "GGA-PBE",
  "state": "relaxed",
  "lattice_angstrom": [[-3.116, -3.387, 1.804], [1.697, -3.619, 2.909], [-1.107, -0.023, 4.818]],
  "species": ["Ge", "Sm", "Au", "Au"],
  "fractional_positions": [[0.500, 0.500, 0.500], [0.000, 0.000, 0.000], [0.750, 0.750, 0.750], [0.250, 0.250, 0.250]],
  "e_tot_ev_per_atom": -4.522
}

# 2
{
  "formula": "IrAuSCl2",
  "functional": "GGA-PBE",
  "state": "relaxed",
  "lattice_angstrom": [[4.810, 0.000, 0.000], [0.000, 4.810, 0.000], [0.000, 0.000, 5.129]],
  "species": ["Cl", "Cl", "Au", "S", "Ir"],
  "fractional_positions": [[0.500, 0.000, 0.000], [0.000, 0.500, 0.000], [0.000, 0.000, 0.000], [0.000, 0.000, 0.500], [0.500, 0.500, 0.500]],
  "polymorph_energy_mev_per_atom": 818.5,
  "e_tot_ev_per_atom": -2.752
}

# 3
{
  "formula": "SmEr8Th2",
  "functional": "GGA-PBE",
  "state": "relaxed",
  "lattice_angstrom": [[5.484, -0.553, -0.386], [0.807, 9.718, 2.536], [0.807, 5.726, 8.252]],
  "species": ["Th", "Th", "Er", "Er", "Er", "Er", "Er", "Er", "Er", "Er", "Sm"],
  "fractional_positions": [[0.740, 0.282, 0.282], [0.260, 0.718, 0.718], [0.761, 0.453, 0.453], [0.234, 0.183, 0.183], [0.737, 0.401, 0.862], [0.766, 0.817, 0.817], [0.239, 0.547, 0.547], [0.737, 0.862, 0.401], [0.263, 0.599, 0.138], [0.263, 0.138, 0.599], [0.000, 0.000, 0.000]],
  "polymorph_energy_mev_per_atom": 0.0,
  "e_tot_ev_per_atom": -4.911
}